VASP calculation (PBEsol) on crystalline KBi3Mo at its relaxed geometry.

It has space group Pm-3m (No. 221), with a = 5.4468 Å, b = 5.4468 Å, c = 5.4468 Å, α = 90.00°, β = 90.00° and γ = 90.00°. The asymmetric unit holds K at (0.0000, 0.0000, 0.0000), Bi at (0.0000, 0.5000, 0.5000) and Mo at (0.5000, 0.5000, 0.5000).

The energy is -4.830 eV per atom. For the total moment, the calculation gives 0.000 μB/atom. The value obtained for the volume is 161.6 Å³ per cell. For the formation energy, the calculation gives 0.3218 eV/atom.